No. 1
Density functional theory data (PBE-GGA) for a relaxed structure of Ce2Pm3PrEr6.

The total energy is -4.8095 eV per atom. The volume is 762.1 Å³ per cell. The value obtained for the magnetic moment is 1.9 μB/f.u. As for the density of states at the Fermi level: 20.3 states/eV/f.u.

It has space group C2/m (No. 12), with a = 6.1808 Å, b = 10.7050 Å, c = 11.7007 Å, α = 90.00°, β = 100.14° and γ = 90.00°. The distinct sites, in fractional coordinates, are Ce at (0.0000, 0.1667, 0.0000), Pm at (0.0000, 0.0000, 0.5000), Pm at (0.0000, 0.3340, 0.5000), Pr at (0.0000, 0.5000, 0.0000), Er at (0.2467, 0.0000, 0.2478) and Er at (0.2494, 0.1679, 0.7521).

---

No. 2
Density functional theory data (PBE-GGA) for a relaxed structure of CePmPrEr.

The calculation puts the energy above the most stable polymorph in this dataset at 0 meV per atom. The total energy is -4.8194 eV per atom. The volume is 534.0 Å³ per cell. The value obtained for the magnetic moment is 1.1 μB/f.u. As for the density of states at the Fermi level: 12.0 states/eV/f.u.

It has space group F-43m (No. 216), with a = 8.1132 Å, b = 8.1132 Å, c = 8.1132 Å, α = 90.00°, β = 90.00° and γ = 90.00°. The distinct sites, in fractional coordinates, are Ce at (0.0000, 0.0000, 0.0000), Pm at (0.2500, 0.2500, 0.7500), Pr at (0.0000, 0.0000, 0.5000) and Er at (0.2500, 0.2500, 0.2500).

---

- density of states at the Fermi level of number 2 (CePmPrEr)?
  12.0 states/eV/f.u.

---

- density of states at the Fermi level of number 2 (CePmPrEr)?
  12.0 states/eV/f.u.